1.
VASP calculation (PBE) on a geometry-optimized LiNi5H4 structure.

```
10
Lattice="0.124 2.361 -1.037 3.425 -1.712 -3.491 -5.037 -2.021 -1.990" Properties=species:S:1:pos:R:3 pbc="T T T"
Li 0.062 1.181 -0.518
Ni -0.508 -0.861 -2.021
Ni 1.181 -1.700 -3.732
Ni -2.669 0.328 -2.785
Ni 1.775 0.325 -2.264
Ni -0.980 -0.511 -4.496
H -1.345 0.727 -1.719
H 0.951 -0.486 -0.994
H -0.143 -2.099 -4.799
H -2.439 -0.885 -5.523
```

Results
Symmetry: C2/m

---

2.
VASP calculation (PBE) on a geometry-optimized Li2NiH2 structure.

```
10
Lattice="5.147 0.000 0.000 0.000 5.147 0.000 0.000 0.000 3.089" Properties=species:S:1:pos:R:3 pbc="T T T"
Ni 0.000 0.000 0.000
Ni 2.573 2.573 0.000
H 1.582 4.156 0.000
H 4.156 3.564 0.000
H 3.564 0.991 0.000
H 0.991 1.582 0.000
Li 0.831 3.404 1.544
Li 3.404 4.315 1.544
Li 4.315 1.742 1.544
Li 1.742 0.831 1.544
```

Results
Symmetry: P4/mbm

---

3.
VASP calculation (PBE) on a geometry-optimized Li2NiH3 structure.

```
12
Lattice="4.255 0.000 0.000 0.000 5.244 0.004 -2.128 -1.309 3.982" Properties=species:S:1:pos:R:3 pbc="T T T"
Li 2.117 2.625 1.276
Li 2.138 0.004 1.274
Li -0.010 3.931 2.712
Li 0.010 1.310 2.710
Ni 4.076 3.933 0.003
Ni 0.179 1.311 0.001
H 1.824 1.311 0.001
H 2.432 3.933 0.003
H 0.015 -0.002 1.062
H 2.142 1.315 2.923
H -0.015 2.620 1.064
H 2.113 3.937 2.925
```

Results
Excess energy over the best structure of this formula in the dataset: 0.000 eV per atom
Symmetry: C2/c

---

4.
VASP calculation (PBE) on a geometry-optimized LiNiH2 structure.

```
4
Lattice="2.694 0.000 0.000 1.347 2.333 0.000 1.347 0.778 4.399" Properties=species:S:1:pos:R:3 pbc="T T T"
Ni 0.000 0.000 0.000
H 4.042 2.333 3.534
H 1.347 0.778 0.865
Li 2.694 1.556 2.199
```

Results
Excess energy over the best structure of this formula in the dataset: 0.003 eV per atom
Symmetry: R-3m

---

5.
VASP calculation (PBE) on a geometry-optimized LiNiH3 structure.

```
10
Lattice="12.489 0.000 0.214 4.594 1.344 -2.105 -4.594 1.344 2.105" Properties=species:S:1:pos:R:3 pbc="T T T"
Ni 12.743 1.344 -1.961
Ni -0.254 1.344 2.176
H 7.733 1.344 0.984
H 4.756 1.344 -0.769
H -1.447 1.344 1.150
H 13.936 1.344 -0.936
H 7.713 1.344 -0.842
H 4.776 1.344 1.057
Li 15.566 1.344 -1.914
Li -3.077 1.344 2.129
```

Results
Symmetry: C2/m

---

6.
VASP calculation (PBE) on a geometry-optimized Li2Ni2H5 structure.

```
9
Lattice="-3.161 0.776 -0.086 -0.104 -0.776 -3.161 -1.399 -5.548 1.408" Properties=species:S:1:pos:R:3 pbc="T T T"
Li 0.000 0.000 0.000
Li -0.700 -2.774 0.704
Ni -1.950 -1.257 -1.304
Ni -2.715 -4.291 -0.534
H -1.884 -0.815 0.262
H -2.677 -3.957 1.060
H -2.332 -2.774 -0.919
H -0.356 -1.591 -1.275
H -1.148 -4.733 -0.477
```

Results
Excess energy over the best structure of this formula in the dataset: 0.000 eV per atom
Symmetry: P4/mmm

---

7.
VASP calculation (PBE) on a geometry-optimized LiNiH2 structure.

```
8
Lattice="2.510 0.000 -0.730 0.000 4.821 0.000 0.122 0.000 5.100" Properties=species:S:1:pos:R:3 pbc="T T T"
Li 1.667 3.616 3.393
Li 0.964 1.205 0.977
Ni 0.355 1.205 3.563
Ni 2.276 3.616 0.806
H 0.061 2.411 2.550
H 0.061 0.000 2.550
H 0.744 3.616 0.219
H 1.887 1.205 4.151
```

Results
Excess energy over the best structure of this formula in the dataset: 0.055 eV per atom
Symmetry: Cmcm

---

8.
VASP calculation (PBE) on a geometry-optimized LiNi2H structure.

```
4
Lattice="2.521 0.000 0.000 1.260 2.183 0.000 1.260 0.728 6.866" Properties=species:S:1:pos:R:3 pbc="T T T"
Ni 1.260 0.728 4.551
Ni 3.781 2.183 2.316
H 2.521 1.455 3.433
Li 0.000 0.000 0.000
```

Results
Excess energy over the best structure of this formula in the dataset: 0.022 eV per atom
Symmetry: R-3m

---

| no. | DFT total energy (hartree per atom) |
| --- | --- |
| 1 | -0.16660 |
| 2 | -0.12364 |
| 3 | -0.13176 |
| 4 | -0.14036 |
| 5 | -0.13437 |
| 6 | -0.14061 |
| 7 | -0.13843 |
| 8 | -0.15226 |